# 1
Entry from Alexandria via LeMat-Bulk: NiAgSnIr after structural relaxation (PBE-GGA).

The structure in POSCAR format:
```
NiAgSnIr
1.0
4.488 0.000 0.000
2.244 3.887 0.000
2.244 1.296 3.665
Ir Ni Ag Sn
1 1 1 1
Cartesian
4.488 2.591 1.832
0.000 0.000 0.000
6.733 3.887 2.749
2.244 1.296 0.916
```

# 2
Entry from Alexandria via LeMat-Bulk: SrNi2AgIr after structural relaxation (PBE-GGA).

The structure in POSCAR format:
```
SrNi2AgIr
1.0
4.708 0.000 0.000
0.000 5.026 0.000
0.000 0.000 4.708
Ni Sr Ir Ag
2 1 1 1
Cartesian
0.000 0.000 2.354
2.354 0.000 0.000
2.354 2.513 2.354
0.000 2.513 0.000
0.000 0.000 0.000
```

# 3
Entry from Alexandria via LeMat-Bulk: TcNiAg2Ir after structural relaxation (PBE-GGA).

The structure in POSCAR format:
```
TcNiAg2Ir
1.0
4.605 0.000 0.000
0.000 4.339 0.000
0.000 0.000 4.605
Ag Ir Tc Ni
2 1 1 1
Cartesian
2.302 0.000 0.000
0.000 0.000 2.302
2.302 2.170 2.302
0.000 2.170 0.000
0.000 0.000 0.000
```

# 4
Entry from Alexandria via LeMat-Bulk: TlNiAg2Ir after structural relaxation (PBE-GGA).

The structure in POSCAR format:
```
TlNiAg2Ir
1.0
4.680 0.000 0.000
0.000 4.752 0.000
0.000 0.000 4.680
Ir Ag Ni Tl
1 2 1 1
Cartesian
2.340 2.376 2.340
2.340 0.000 0.000
0.000 0.000 2.340
0.000 0.000 0.000
0.000 2.376 0.000
```

Number 1: density of states at the Fermi level 4.01 states/eV per cell, ΔE_f 0.078 eV/atom, total magnetic moment 0.01 μB/cell. Number 2: density of states at the Fermi level 8.21 states/eV per cell, ΔE_f 0.938 eV/atom, total magnetic moment 1.55 μB/cell. Number 3: density of states at the Fermi level 5.35 states/eV per cell, ΔE_f 1.478 eV/atom, total magnetic moment 2.06 μB/cell. Number 4: density of states at the Fermi level 2.55 states/eV per cell, ΔE_f 1.188 eV/atom, total magnetic moment 0.00 μB/cell.